# 1
Density functional theory data (PBE-GGA) for Cr2AgOs after structural relaxation.

a = 2.645 Å, b = 2.645 Å, c = 8.819 Å
α = 90.00°, β = 90.00°, γ = 113.79°
Element x y z (fractional)
Cr1 0.000 0.000 0.034
Cr2 0.500 0.500 0.234
Ag1 0.500 0.500 0.761
Os1 0.000 0.000 0.471

DFT total energy = -7.9096 eV/atom
crystal system = orthorhombic
DOS at the Fermi energy = 3.7 states/eV/f.u.
mass density = 11.82 Mg/m³
formation energy from the elements = 0.422 eV per atom

# 2
Density functional theory data (PBE-GGA) for Nd4Y3Ho5 after structural relaxation.

a = 5.934 Å, b = 8.611 Å, c = 9.703 Å
α = 105.24°, β = 72.20°, γ = 69.85°
Element x y z (fractional)
Ho1 0.632 0.938 0.799
Ho2 0.788 0.541 0.883
Ho3 0.212 0.459 0.117
Ho4 0.500 0.500 0.500
Ho5 0.368 0.062 0.201
Nd1 0.137 0.778 0.948
Nd2 0.166 0.049 0.618
Nd3 0.863 0.222 0.052
Nd4 0.834 0.951 0.382
Y1 0.524 0.689 0.263
Y2 0.476 0.311 0.737
Y3 0.000 0.500 0.500

DFT total energy = -4.8804 eV/atom
crystal system = monoclinic
DOS at the Fermi energy = 19.9 states/eV/f.u.
mass density = 6.86 Mg/m³
formation energy from the elements = 0.232 eV per atom

# 3
Density functional theory data (PBE-GGA) for Lu2AuC after structural relaxation.

a = 3.597 Å, b = 3.597 Å, c = 7.181 Å
α = 75.50°, β = 75.50°, γ = 60.00°
Element x y z (fractional)
Lu1 0.229 0.229 0.313
Lu2 0.771 0.771 0.687
Au1 0.000 0.000 0.000
C1 0.500 0.500 0.500

DFT total energy = -5.9667 eV/atom
crystal system = trigonal
DOS at the Fermi energy = 2.9 states/eV/f.u.
mass density = 12.05 Mg/m³
formation energy from the elements = -0.581 eV per atom

# 4
Density functional theory data (PBE-GGA) for MgTeCl2 after structural relaxation.

a = 7.519 Å, b = 7.519 Å, c = 7.284 Å
α = 58.93°, β = 58.93°, γ = 90.00°
Element x y z (fractional)
Te1 0.000 0.000 0.000
Te2 0.750 0.250 0.500
Cl1 0.875 0.717 0.750
Cl2 0.283 0.625 0.250
Cl3 0.375 0.533 0.750
Cl4 0.467 0.125 0.250
Mg1 0.500 0.500 0.000
Mg2 0.250 0.750 0.500

distance to the lowest polymorph of the same formula = 416 meV per atom
DFT total energy = -2.8838 eV/atom
crystal system = tetragonal
DOS at the Fermi energy = 2.1 states/eV/f.u.
mass density = 2.63 Mg/m³
uncorrected formation energy = -776 meV per atom

# 5
Density functional theory data (PBE-GGA) for Mo3N after structural relaxation.

a = 2.734 Å, b = 2.933 Å, c = 6.907 Å
α = 90.00°, β = 90.00°, γ = 90.00°
Element x y z (fractional)
Mo1 0.000 0.500 0.470
Mo2 0.500 0.000 0.751
Mo3 0.500 0.500 0.114
N1 0.000 0.000 0.998

distance to the lowest polymorph of the same formula = 77 meV per atom
DFT total energy = -10.0566 eV/atom
crystal system = orthorhombic
DOS at the Fermi energy = 3.5 states/eV/f.u.
mass density = 9.05 Mg/m³
uncorrected formation energy = 148 meV per atom

# 6
Density functional theory data (PBE-GGA) for PmThSb2 after structural relaxation.

a = 4.379 Å, b = 4.379 Å, c = 8.246 Å
α = 74.60°, β = 74.60°, γ = 60.00°
Element x y z (fractional)
Sb1 0.251 0.251 0.247
Sb2 0.081 0.081 0.756
Th1 0.498 0.498 0.506
Pm1 0.669 0.669 0.992

distance to the lowest polymorph of the same formula = 96 meV per atom
DFT total energy = -6.0673 eV/atom
crystal system = trigonal
DOS at the Fermi energy = 2.3 states/eV/f.u.
mass density = 7.90 Mg/m³
uncorrected formation energy = -964 meV per atom

# 7
Density functional theory data (PBE-GGA) for Sc2Sb after structural relaxation.

a = 4.793 Å, b = 4.793 Å, c = 3.562 Å
α = 90.00°, β = 90.00°, γ = 120.00°
Element x y z (fractional)
Sc1 0.333 0.667 0.268
Sc2 0.667 0.333 0.732
Sb1 0.000 0.000 0.000

DFT total energy = -6.0281 eV/atom
crystal system = trigonal
DOS at the Fermi energy = 2.7 states/eV/f.u.
mass density = 4.96 Mg/m³
uncorrected formation energy = -433 meV per atom

# 8
Density functional theory data (PBE-GGA) for Li3B8C8 after structural relaxation.

a = 4.684 Å, b = 5.405 Å, c = 7.605 Å
α = 90.00°, β = 89.81°, γ = 90.00°
Element x y z (fractional)
C1 0.168 0.251 0.735
C2 0.665 0.000 0.727
C3 0.331 0.500 0.279
C4 0.832 0.749 0.265
C5 0.168 0.749 0.735
C6 0.832 0.251 0.265
C7 0.669 0.500 0.721
C8 0.335 0.000 0.273
B1 0.833 0.752 0.730
B2 0.331 0.000 0.741
B3 0.666 0.500 0.262
B4 0.669 0.000 0.259
B5 0.334 0.500 0.738
B6 0.167 0.248 0.270
B7 0.833 0.248 0.730
B8 0.167 0.752 0.270
Li1 0.000 0.500 0.500
Li2 0.500 0.757 0.500
Li3 0.500 0.243 0.500

distance to the lowest polymorph of the same formula = 110 meV per atom
DFT total energy = -6.8812 eV/atom
crystal system = monoclinic
DOS at the Fermi energy = 5.5 states/eV/f.u.
mass density = 1.75 Mg/m³
formation energy from the elements = 0.116 eV per atom

# 9
Density functional theory data (PBE-GGA) for BeAs2Pt after structural relaxation.

a = 5.474 Å, b = 4.366 Å, c = 3.682 Å
α = 81.15°, β = 64.71°, γ = 116.54°
Element x y z (fractional)
Pt1 0.500 0.500 0.000
Be1 0.000 0.500 0.500
As1 0.000 0.000 0.000
As2 0.500 0.000 0.500

DFT total energy = -4.6110 eV/atom
crystal system = monoclinic
DOS at the Fermi energy = 1.4 states/eV/f.u.
mass density = 9.13 Mg/m³
formation energy from the elements = 0.156 eV per atom

# 10
Density functional theory data (PBE-GGA) for CdCuRu2 after structural relaxation.

a = 2.814 Å, b = 4.581 Å, c = 4.716 Å
α = 90.00°, β = 90.00°, γ = 90.00°
Element x y z (fractional)
Cu1 0.000 0.500 0.500
Ru1 0.500 0.500 0.000
Ru2 0.000 0.000 0.000
Cd1 0.500 0.000 0.500

DFT total energy = -5.4473 eV/atom
crystal system = orthorhombic
DOS at the Fermi energy = 4.6 states/eV/f.u.
mass density = 10.33 Mg/m³
formation energy from the elements = 0.443 eV per atom

# 11
Density functional theory data (PBE-GGA) for GdScZnTc after structural relaxation.

a = 4.809 Å, b = 4.809 Å, c = 4.809 Å
α = 60.00°, β = 60.00°, γ = 60.00°
Element x y z (fractional)
Tc1 0.500 0.500 0.500
Gd1 0.750 0.750 0.750
Sc1 0.250 0.250 0.250
Zn1 0.000 0.000 0.000

DFT total energy = -8.1841 eV/atom
crystal system = cubic
DOS at the Fermi energy = 2.8 states/eV/f.u.
mass density = 7.72 Mg/m³
formation energy from the elements = -0.171 eV per atom

# 12
Density functional theory data (PBE-GGA) for LiCuSb2 after structural relaxation.

a = 5.065 Å, b = 5.065 Å, c = 5.065 Å
α = 126.35°, β = 126.35°, γ = 79.32°
Element x y z (fractional)
Sb1 0.500 0.500 0.000
Sb2 0.000 0.000 0.000
Cu1 0.250 0.750 0.500
Li1 0.750 0.250 0.500

distance to the lowest polymorph of the same formula = 86 meV per atom
DFT total energy = -3.5898 eV/atom
crystal system = tetragonal
DOS at the Fermi energy = 1.6 states/eV/f.u.
mass density = 6.40 Mg/m³
uncorrected formation energy = -26 meV per atom

# 13
Density functional theory data (PBE-GGA) for Nd6Te3Au2Se after structural relaxation.

a = 4.317 Å, b = 8.991 Å, c = 9.942 Å
α = 104.93°, β = 102.54°, γ = 90.00°
Element x y z (fractional)
Au1 0.832 0.661 0.665
Au2 0.168 0.339 0.335
Te1 0.165 0.838 0.331
Te2 0.835 0.162 0.669
Te3 0.500 0.500 0.000
Nd1 0.662 0.097 0.325
Nd2 0.004 0.238 0.007
Nd3 0.668 0.578 0.337
Nd4 0.332 0.422 0.663
Nd5 0.338 0.903 0.675
Nd6 0.996 0.762 0.993
Se1 0.500 0.000 0.000

DFT total energy = -5.2713 eV/atom
crystal system = monoclinic
DOS at the Fermi energy = 9.0 states/eV/f.u.
mass density = 7.87 Mg/m³
uncorrected formation energy = -1265 meV per atom